*i*
Here is TlZn2Pd2 at its PBEsol-relaxed geometry from Alexandria. Energies are from meta-GGA SCAN.

The calculation puts the magnetization at 0.00 μB/f.u. The calculated volume comes out at 88 Å³ per cell.

a b c (Å): 3.9803 3.9803 6.2370
angles (deg): 108.61 108.61 90.00
Closest atoms and distances in Å follow each position.
Positions (direct):
Tl: 0.0000 0.0000 0.0000  8 Zn 3.08, 8 Pd 3.42
Zn: 0.3885 0.3885 0.7770  1 Zn 2.48, 4 Pd 2.52
Zn: 0.6115 0.6115 0.2230  1 Zn 2.48, 4 Pd 2.52
Pd: 0.2500 0.7500 0.5000  4 Zn 2.52, 4 Pd 2.81
Pd: 0.7500 0.2500 0.5000  4 Zn 2.52, 4 Pd 2.81

*ii*
Here is TlZn2Pd2 at its PBEsol-relaxed geometry from Alexandria. Energies are from meta-GGA SCAN.

The calculation puts the magnetization at 0.00 μB/f.u. The calculated volume comes out at 83 Å³ per cell.

a b c (Å): 3.5707 3.5707 6.9789
angles (deg): 104.82 104.82 90.00
Closest atoms and distances in Å follow each position.
Positions (direct):
Tl: 0.0000 0.0000 0.0000  8 Pd 2.87
Zn: 0.2500 0.7500 0.5000  4 Zn 2.52, 4 Pd 2.59
Zn: 0.7500 0.2500 0.5000  4 Zn 2.52, 4 Pd 2.59
Pd: 0.3945 0.3945 0.7891  4 Zn 2.59, 1 Pd 2.74, 4 Tl 2.87
Pd: 0.6055 0.6055 0.2109  4 Zn 2.59, 1 Pd 2.74, 4 Tl 2.87

Going by the energies, *ii* is most stable and the next is 108 meV per atom up.

*i*
Here is Pm at its PBEsol-relaxed geometry from Alexandria. Energies are from meta-GGA SCAN.

The calculation puts the magnetization at 0.00 μB/f.u. The calculated volume comes out at 32 Å³ per cell.

a b c (Å): 3.5678 3.5678 3.5678
angles (deg): 60.00 60.00 60.00
Closest atoms and distances in Å follow each position.
Positions (direct):
Pm: 0.0000 0.0000 0.0000  12 Pm 3.57

*ii*
Here is Pm at its PBEsol-relaxed geometry from Alexandria. Energies are from meta-GGA SCAN.

The calculation puts the magnetization at 0.00 μB/f.u. The calculated volume comes out at 97 Å³ per cell.

a b c (Å): 3.5929 3.5929 8.8874
angles (deg): 78.34 78.34 60.00
Closest atoms and distances in Å follow each position.
Positions (direct):
Pm: 0.0000 0.0000 0.0000  12 Pm 3.54-3.59
Pm: 0.2228 0.2228 0.3317  12 Pm 3.54-3.59
Pm: 0.7772 0.7772 0.6683  12 Pm 3.54-3.59

Going by the energies, *ii* is most stable and the next is 8 meV per atom up.

*i*
Here is PmSe2 at its PBEsol-relaxed geometry from Alexandria. Energies are from meta-GGA SCAN.

The calculation puts the magnetization at 0.00 μB/f.u. The calculated volume comes out at 282 Å³ per cell.

a b c (Å): 4.0914 8.2400 8.3777
angles (deg): 90.06 90.00 90.00
Closest atoms and distances in Å follow each position.
Positions (direct):
Pm: 0.7282 0.6260 0.2739  9 Se 2.94-3.16
Pm: 0.2718 0.3740 0.7261  9 Se 2.94-3.16
Pm: 0.7718 0.1260 0.2739  9 Se 2.94-3.16
Pm: 0.2282 0.8740 0.7261  9 Se 2.94-3.16
Se: 0.8043 0.3795 0.9989  1 Se 2.55
Se: 0.2455 0.8750 0.3682  5 Pm 2.94-3.09
Se: 0.7545 0.1250 0.6318  5 Pm 2.94-3.09
Se: 0.7455 0.6250 0.6318  5 Pm 2.94-3.09
Se: 0.3043 0.1205 0.0011  1 Se 2.55
Se: 0.2545 0.3750 0.3682  5 Pm 2.94-3.09
Se: 0.1957 0.6205 0.0011  1 Se 2.55
Se: 0.6957 0.8795 0.9989  1 Se 2.55

*ii*
Here is PmSe2 at its PBEsol-relaxed geometry from Alexandria. Energies are from meta-GGA SCAN.

The calculation puts the magnetization at 0.00 μB/f.u. The calculated volume comes out at 140 Å³ per cell.

a b c (Å): 4.0824 4.0824 8.3970
angles (deg): 90.00 90.00 90.00
Closest atoms and distances in Å follow each position.
Positions (direct):
Se: 0.0000 0.0000 0.0000  4 Se 2.89, 4 Pm 3.07
Se: 0.5000 0.5000 0.0000  4 Se 2.89, 4 Pm 3.07
Se: 0.0000 0.5000 0.3679  5 Pm 2.99-3.02
Se: 0.5000 0.0000 0.6321  5 Pm 2.99-3.02
Pm: 0.0000 0.5000 0.7270  9 Se 2.99-3.07
Pm: 0.5000 0.0000 0.2730  9 Se 2.99-3.07

Going by the energies, *i* is most stable and the next is 25 meV per atom up.

*i*
Here is PmSm3 at its PBEsol-relaxed geometry from Alexandria. Energies are from meta-GGA SCAN.

The calculation puts the magnetization at 0.00 μB/f.u. The calculated volume comes out at 127 Å³ per cell.

a b c (Å): 5.0221 5.0221 6.1473
angles (deg): 114.11 114.11 90.00
Closest atoms and distances in Å follow each position.
Positions (direct):
Sm: 0.2500 0.7500 0.5000  4 Pm 3.55, 8 Sm 3.55
Sm: 0.7500 0.2500 0.5000  8 Sm 3.55, 4 Pm 3.55
Sm: 0.5000 0.5000 0.0000  8 Sm 3.55, 4 Pm 3.55
Pm: 0.0000 0.0000 0.0000  12 Sm 3.55

*ii*
Here is PmSm3 at its PBEsol-relaxed geometry from Alexandria. Energies are from meta-GGA SCAN.

The calculation puts the magnetization at 0.00 μB/f.u. The calculated volume comes out at 255 Å³ per cell.

a b c (Å): 5.7527 7.1487 7.1487
angles (deg): 120.00 90.00 90.00
Closest atoms and distances in Å follow each position.
Positions (direct):
Pm: 0.2500 0.6667 0.3333  12 Sm 3.54-3.57
Pm: 0.7500 0.3333 0.6667  12 Sm 3.54-3.57
Sm: 0.7500 0.8333 0.1667  4 Pm 3.54-3.57, 8 Sm 3.54-3.57
Sm: 0.7500 0.8333 0.6667  4 Pm 3.54-3.57, 8 Sm 3.54-3.57
Sm: 0.7500 0.3333 0.1667  4 Pm 3.54-3.57, 8 Sm 3.54-3.57
Sm: 0.2500 0.1667 0.8333  4 Pm 3.54-3.57, 8 Sm 3.54-3.57
Sm: 0.2500 0.1667 0.3333  4 Pm 3.54-3.57, 8 Sm 3.54-3.57
Sm: 0.2500 0.6667 0.8333  4 Pm 3.54-3.57, 8 Sm 3.54-3.57

Going by the energies, *i* is most stable and the next is 15 meV per atom up.

*i*
Here is PrY at its PBEsol-relaxed geometry from Alexandria. Energies are from meta-GGA SCAN.

The calculation puts the magnetization at 0.08 μB/f.u. The calculated volume comes out at 65 Å³ per cell.

a b c (Å): 3.6069 3.6069 5.7403
angles (deg): 90.00 90.00 120.00
Closest atoms and distances in Å follow each position.
Positions (direct):
Pr: 0.0000 0.0000 0.0000  6 Y 3.55, 6 Pr 3.61
Y: 0.6667 0.3333 0.5000  6 Pr 3.55, 6 Y 3.61

*ii*
Here is PrY at its PBEsol-relaxed geometry from Alexandria. Energies are from meta-GGA SCAN.

The calculation puts the magnetization at 0.11 μB/f.u. The calculated volume comes out at 193 Å³ per cell.

a b c (Å): 3.5924 3.5924 17.3802
angles (deg): 84.07 84.07 60.00
Closest atoms and distances in Å follow each position.
Positions (direct):
Pr: 0.9986 0.9986 0.0042  3 Y 3.53, 9 Pr 3.59-3.63
Pr: 0.5005 0.5005 0.4984  6 Y 3.53-3.54, 6 Pr 3.59
Pr: 0.3896 0.3896 0.8313  3 Y 3.56, 9 Pr 3.59-3.63
Y: 0.8892 0.8892 0.3324  9 Y 3.49-3.59, 3 Pr 3.54
Y: 0.1120 0.1120 0.6639  6 Pr 3.53-3.56, 6 Y 3.59
Y: 0.6101 0.6101 0.1697  9 Y 3.49-3.59, 3 Pr 3.53

Going by the energies, *ii* is most stable and the next is 35 meV per atom up.

*i*
Here is RbPt3 at its PBEsol-relaxed geometry from Alexandria. Energies are from meta-GGA SCAN.

The calculation puts the magnetization at 0.78 μB/f.u. The calculated volume comes out at 71 Å³ per cell.

a b c (Å): 2.8440 2.8440 10.1987
angles (deg): 90.00 90.00 120.00
Closest atoms and distances in Å follow each position.
Positions (direct):
Pt: 0.0000 0.0000 0.5000  12 Pt 2.79-2.84
Pt: 0.6667 0.3333 0.7208  9 Pt 2.79-2.84
Pt: 0.6667 0.3333 0.2792  9 Pt 2.79-2.84
Rb: 0.0000 0.0000 0.0000  6 Rb 2.84

*ii*
Here is RbPt3 at its PBEsol-relaxed geometry from Alexandria. Energies are from meta-GGA SCAN.

The calculation puts the magnetization at 0.00 μB/f.u. The calculated volume comes out at 212 Å³ per cell.

a b c (Å): 4.4520 6.1459 7.7329
angles (deg): 90.00 90.00 90.00
Closest atoms and distances in Å follow each position.
Positions (direct):
Pt: 0.5000 0.0223 0.0000  6 Pt 2.59
Pt: 0.0000 0.0508 0.8302  6 Pt 2.59-2.63
Pt: 0.5000 0.9492 0.6698  6 Pt 2.59-2.63
Pt: 0.0000 0.9777 0.5000  6 Pt 2.59
Pt: 0.0000 0.0508 0.1698  6 Pt 2.59-2.63
Pt: 0.5000 0.9492 0.3302  6 Pt 2.59-2.63
Rb: 0.0000 0.5563 0.0000  6 Pt 3.31-3.63
Rb: 0.5000 0.4437 0.5000  6 Pt 3.31-3.63

*iii*
Here is RbPt3 at its PBEsol-relaxed geometry from Alexandria. Energies are from meta-GGA SCAN.

The calculation puts the magnetization at 0.73 μB/f.u. The calculated volume comes out at 73 Å³ per cell.

a b c (Å): 4.6917 4.6917 4.6917
angles (deg): 60.00 60.00 60.00
Closest atoms and distances in Å follow each position.
Positions (direct):
Pt: 0.2500 0.2500 0.2500  4 Pt 2.87, 4 Rb 2.87
Pt: 0.5000 0.5000 0.5000  8 Pt 2.87
Pt: 0.7500 0.7500 0.7500  4 Rb 2.87, 4 Pt 2.87
Rb: 0.0000 0.0000 0.0000  8 Pt 2.87

Going by the energies, *ii* is most stable and the next is 648 meV per atom up.

*i*
Here is RePt2 at its PBEsol-relaxed geometry from Alexandria. Energies are from meta-GGA SCAN.

The calculation puts the magnetization at 0.00 μB/f.u. The calculated volume comes out at 44 Å³ per cell.

a b c (Å): 2.7292 2.7292 6.2410
angles (deg): 102.63 102.63 90.00
Closest atoms and distances in Å follow each position.
Positions (direct):
Re: 0.0000 0.0000 0.0000  8 Pt 2.70, 4 Re 2.73
Pt: 0.6594 0.6594 0.3187  4 Re 2.70, 8 Pt 2.73-2.89
Pt: 0.3406 0.3406 0.6813  4 Re 2.70, 8 Pt 2.73-2.89

*ii*
Here is RePt2 at its PBEsol-relaxed geometry from Alexandria. Energies are from meta-GGA SCAN.

The calculation puts the magnetization at 0.00 μB/f.u. The calculated volume comes out at 44 Å³ per cell.

a b c (Å): 2.7536 2.7536 6.7414
angles (deg): 90.00 90.00 120.00
Closest atoms and distances in Å follow each position.
Positions (direct):
Re: 0.0000 0.0000 0.0000  6 Pt 2.70, 6 Re 2.75
Pt: 0.6667 0.3333 0.3246  3 Re 2.70, 9 Pt 2.75-2.85
Pt: 0.3333 0.6667 0.6754  3 Re 2.70, 9 Pt 2.75-2.85

*iii*
Here is RePt2 at its PBEsol-relaxed geometry from Alexandria. Energies are from meta-GGA SCAN.

The calculation puts the magnetization at 0.00 μB/f.u. The calculated volume comes out at 44 Å³ per cell.

a b c (Å): 2.7407 3.9206 4.7343
angles (deg): 114.46 106.83 90.00
Closest atoms and distances in Å follow each position.
Positions (direct):
Re: 0.0000 0.0000 0.0000  10 Pt 2.74-2.75, 2 Re 2.74
Pt: 0.6631 0.6631 0.3261  7 Pt 2.66-2.78, 5 Re 2.74-2.75
Pt: 0.3369 0.3369 0.6739  7 Pt 2.66-2.78, 5 Re 2.74-2.75

Going by the energies, *i* is most stable and the next is 28 meV per atom up.

*i*
Here is RePtRh2 at its PBEsol-relaxed geometry from Alexandria. Energies are from meta-GGA SCAN.

The calculation puts the magnetization at 0.00 μB/f.u. The calculated volume comes out at 56 Å³ per cell.

a b c (Å): 2.7045 2.7045 9.0488
angles (deg): 81.41 81.41 60.00
Closest atoms and distances in Å follow each position.
Positions (direct):
Re: 0.0000 0.0000 0.0000  6 Rh 2.65, 6 Re 2.70
Rh: 0.2532 0.2532 0.2404  3 Re 2.65, 6 Rh 2.70, 3 Pt 2.79
Rh: 0.7468 0.7468 0.7596  3 Re 2.65, 6 Rh 2.70, 3 Pt 2.79
Pt: 0.5000 0.5000 0.5000  6 Pt 2.70, 6 Rh 2.79

*ii*
Here is RePtRh2 at its PBEsol-relaxed geometry from Alexandria. Energies are from meta-GGA SCAN.

The calculation puts the magnetization at 0.01 μB/f.u. The calculated volume comes out at 56 Å³ per cell.

a b c (Å): 3.8366 3.8366 4.6749
angles (deg): 114.23 114.23 90.00
Closest atoms and distances in Å follow each position.
Positions (direct):
Re: 0.0000 0.0000 0.0000  8 Rh 2.70, 4 Pt 2.71
Rh: 0.7500 0.2500 0.5000  4 Re 2.70, 4 Pt 2.70, 4 Rh 2.71
Rh: 0.2500 0.7500 0.5000  4 Re 2.70, 4 Pt 2.70, 4 Rh 2.71
Pt: 0.5000 0.5000 0.0000  8 Rh 2.70, 4 Re 2.71

*iii*
Here is RePtRh2 at its PBEsol-relaxed geometry from Alexandria. Energies are from meta-GGA SCAN.

The calculation puts the magnetization at 0.00 μB/f.u. The calculated volume comes out at 56 Å³ per cell.

a b c (Å): 2.6895 4.6950 4.7084
angles (deg): 99.29 90.00 106.64
Closest atoms and distances in Å follow each position.
Positions (direct):
Re: 0.5000 0.0000 0.0000  6 Rh 2.68-2.71, 2 Re 2.69, 4 Pt 2.71
Rh: 0.7536 0.5072 0.7587  6 Rh 2.65-2.77, 3 Re 2.68-2.71, 3 Pt 2.70-2.75
Rh: 0.2464 0.4928 0.2413  6 Rh 2.65-2.77, 3 Re 2.68-2.71, 3 Pt 2.70-2.75
Pt: 0.0000 0.0000 0.5000  2 Pt 2.69, 6 Rh 2.70-2.75, 4 Re 2.71

*iv*
Here is RePtRh2 at its PBEsol-relaxed geometry from Alexandria. Energies are from meta-GGA SCAN.

The calculation puts the magnetization at 0.00 μB/f.u. The calculated volume comes out at 56 Å³ per cell.

a b c (Å): 2.7090 2.7090 7.6784
angles (deg): 90.00 90.00 90.00
Closest atoms and distances in Å follow each position.
Positions (direct):
Re: 0.5000 0.5000 0.5000  8 Rh 2.65, 4 Re 2.71
Rh: 0.0000 0.0000 0.7388  4 Re 2.65, 4 Rh 2.71, 4 Pt 2.77
Rh: 0.0000 0.0000 0.2612  4 Re 2.65, 4 Rh 2.71, 4 Pt 2.77
Pt: 0.5000 0.5000 0.0000  4 Pt 2.71, 8 Rh 2.77

Going by the energies, *iv* is most stable and the next is 31 meV per atom up.